VASP calculation (PBE-GGA) on an optimized crystal structure of HfSnBi2.

## Properties
Space-group type: R-3m
V (Å³/atom): 29.03
Calculated total energy (eV per cell): -21.68
N(E_F) (states/eV per atom): 0.550
ΔE_f (kJ per mole of atoms): 1

Cell: 3.4269 3.4269 11.5868 Å, 81.50 81.50 60.00°
With the nearest neighbours (Å) after each atom.
Atoms (fractional coordinates):
1 Bi 0.0963 0.0963 0.7111  3 Hf 3.12, 1 Sn 3.30, 6 Bi 3.43
2 Bi 0.9037 0.9037 0.2889  3 Hf 3.12, 1 Sn 3.30, 6 Bi 3.43
3 Hf 0.5000 0.5000 0.5000  6 Bi 3.12, 6 Hf 3.43
4 Sn 0.0000 0.0000 0.0000  2 Bi 3.30, 6 Sn 3.43